Entry 1:
# Cs2In2Pt, relaxed, DFT GGA-PBE
data_Cs2In2Pt
_chemical_formula_sum 'Cs4 In4 Pt2'
_symmetry_space_group_name_H-M 'P 4/m b m'
_symmetry_Int_Tables_number 127
_symmetry_space_group_name_Hall '-P 4 2ab'
_cell_length_a 7.3110
_cell_length_b 7.3110
_cell_length_c 6.5833
_cell_angle_alpha 90.00
_cell_angle_beta 90.00
_cell_angle_gamma 90.00
loop_
_atom_site_label
_atom_site_fract_x
_atom_site_fract_y
_atom_site_fract_z
_atom_site_occupancy
Cs1 0.1837 0.3163 0.0000 1
In1 0.1564 0.6564 0.5000 1
Pt1 0.0000 0.0000 0.5000 1
# Mass density, g cm⁻³: 6.5
# Calculated formation energy, meV per atom: -59
# Magnetic moment, μB per cell: 0.00

---

Entry 2:
# CsIn2Pt, relaxed, DFT GGA-PBE
data_CsIn2Pt
_chemical_formula_sum 'Cs1 In2 Pt1'
_symmetry_space_group_name_H-M 'P 4/m m m'
_symmetry_Int_Tables_number 123
_symmetry_space_group_name_Hall '-P 4 2'
_cell_length_a 3.4976
_cell_length_b 3.4976
_cell_length_c 9.2068
_cell_angle_alpha 90.00
_cell_angle_beta 90.00
_cell_angle_gamma 90.00
loop_
_atom_site_label
_atom_site_fract_x
_atom_site_fract_y
_atom_site_fract_z
_atom_site_occupancy
Cs1 0.0000 0.0000 0.0000 1
In1 0.5000 0.5000 0.3301 1
Pt1 0.0000 0.0000 0.5000 1
# Mass density, g cm⁻³: 8.2
# Calculated formation energy, meV per atom: -195
# Magnetic moment, μB per cell: 0.00

---

Please write out number 1 again, unchanged.
# Cs2In2Pt, relaxed, DFT GGA-PBE
data_Cs2In2Pt
_chemical_formula_sum 'Cs4 In4 Pt2'
_symmetry_space_group_name_H-M 'P 4/m b m'
_symmetry_Int_Tables_number 127
_symmetry_space_group_name_Hall '-P 4 2ab'
_cell_length_a 7.3110
_cell_length_b 7.3110
_cell_length_c 6.5833
_cell_angle_alpha 90.00
_cell_angle_beta 90.00
_cell_angle_gamma 90.00
loop_
_atom_site_label
_atom_site_fract_x
_atom_site_fract_y
_atom_site_fract_z
_atom_site_occupancy
Cs1 0.1837 0.3163 0.0000 1
In1 0.1564 0.6564 0.5000 1
Pt1 0.0000 0.0000 0.5000 1
# Mass density, g cm⁻³: 6.5
# Calculated formation energy, meV per atom: -59
# Magnetic moment, μB per cell: 0.00